# CsHgCl3, optimized geometry, DFT PBEsol
# * VASP energy: -0.19785 Ry/atom
# * volume: 29.96 Å³/atom
# * energy relative to the elements, uncorrected: -1.185 eV/atom
# * offset from the most stable computed form: 0.03 eV/f.u.
data_CsHgCl3
_space_group_name_H-M_alt 'P 4/m b m'
_space_group_IT_number 127
_space_group_name_Hall '-P 4 2ab'
_cell_length_a 7.4738
_cell_length_b 7.4738
_cell_length_c 5.3637
_cell_angle_alpha 90.00
_cell_angle_beta 90.00
_cell_angle_gamma 90.00
loop_
_atom_site_label
_atom_site_fract_x
_atom_site_fract_y
_atom_site_fract_z
_atom_site_occupancy
Cs1 0.0000 0.0000 0.0000 1
Hg1 0.0000 0.5000 0.5000 1
Cl1 0.0000 0.5000 0.0000 1
Cl2 0.2334 0.2666 0.5000 1

---

# LiIF2, optimized geometry, DFT PBEsol
# * VASP energy: -0.23368 Ry/atom
# * volume: 17.81 Å³/atom
# * energy relative to the elements, uncorrected: -1.282 eV/atom
data_LiIF2
_space_group_name_H-M_alt 'R -3 m'
_space_group_IT_number 166
_space_group_name_Hall '-R 3 2"'
_cell_length_a 3.3118
_cell_length_b 3.3118
_cell_length_c 22.5016
_cell_angle_alpha 90.00
_cell_angle_beta 90.00
_cell_angle_gamma 120.00
loop_
_atom_site_label
_atom_site_fract_x
_atom_site_fract_y
_atom_site_fract_z
_atom_site_occupancy
Li1 0.0000 0.0000 0.0000 1
I1 0.0000 0.0000 0.5000 1
F1 0.0000 0.0000 0.0751 1